one:
The following is a PBE calculation of a relaxed NaVAs3 crystal, from the Alexandria database.

Lattice parameters (Å, degrees): 4.8133 4.8133 4.8133 90.00 90.00 90.00
Fractional coordinates of all 5 atoms:
Na 0.5000 0.5000 0.5000
As 0.0000 0.5000 0.0000
As 0.0000 0.0000 0.5000
As 0.5000 0.0000 0.0000
V 0.0000 0.0000 0.0000

Computed properties:
The symmetry is Pm-3m.



two:
The following is a PBE calculation of a relaxed NaVAs3 crystal, from the Alexandria database.

Lattice parameters (Å, degrees): 4.9091 4.9091 4.9091 90.00 90.00 90.00
Fractional coordinates of all 5 atoms:
Na 0.0000 0.0000 0.0000
As 0.0000 0.5000 0.0000
As 0.0000 0.0000 0.5000
As 0.5000 0.0000 0.0000
V 0.5000 0.5000 0.5000

Computed properties:
The symmetry is Pm-3m.



Pick one: it beats the second-best structure by 1280 meV/atom.



one:
The following is a PBE calculation of a relaxed NaAsW3 crystal, from the Alexandria database.

Lattice parameters (Å, degrees): 4.6888 4.6888 4.6888 90.00 90.00 90.00
Fractional coordinates of all 5 atoms:
Na 0.5000 0.5000 0.5000
As 0.0000 0.0000 0.0000
W 0.0000 0.5000 0.0000
W 0.0000 0.0000 0.5000
W 0.5000 0.0000 0.0000

Computed properties:
The symmetry is Pm-3m.



two:
The following is a PBE calculation of a relaxed NaAsW3 crystal, from the Alexandria database.

Lattice parameters (Å, degrees): 4.5758 4.5758 4.5758 90.00 90.00 90.00
Fractional coordinates of all 5 atoms:
Na 0.0000 0.0000 0.0000
As 0.5000 0.5000 0.5000
W 0.0000 0.5000 0.0000
W 0.0000 0.0000 0.5000
W 0.5000 0.0000 0.0000

Computed properties:
The symmetry is Pm-3m.



Pick one: it beats the second-best structure by 1404 meV/atom.



one:
The following is a PBE calculation of a relaxed NaAs2W crystal, from the Alexandria database.

Lattice parameters (Å, degrees): 4.6200 4.6200 4.6200 60.00 60.00 60.00
Fractional coordinates of all 4 atoms:
Na 0.0000 0.0000 0.0000
As 0.2500 0.2500 0.2500
As 0.7500 0.7500 0.7500
W 0.5000 0.5000 0.5000

Computed properties:
The symmetry is Fm-3m.



two:
The following is a PBE calculation of a relaxed NaAs2W crystal, from the Alexandria database.

Lattice parameters (Å, degrees): 3.3613 3.3613 8.3388 78.37 78.37 60.00
Fractional coordinates of all 4 atoms:
Na 0.5000 0.5000 0.5000
As 0.7364 0.7364 0.7908
As 0.2636 0.2636 0.2092
W 0.0000 0.0000 0.0000

Computed properties:
The symmetry is R-3m.



three:
The following is a PBE calculation of a relaxed NaAs2W crystal, from the Alexandria database.

Lattice parameters (Å, degrees): 3.1563 3.1563 7.4804 90.00 90.00 90.00
Fractional coordinates of all 4 atoms:
Na 0.5000 0.5000 0.5000
As 0.0000 0.0000 0.7972
As 0.0000 0.0000 0.2028
W 0.5000 0.5000 0.0000

Computed properties:
The symmetry is P4/mmm.



Pick two: it beats the second-best structure by 9 meV/atom.